# 1
DFT (PBE-GGA) results for a relaxed structure of NbSe3S.

Cell lengths 4.7709, 4.7709, 4.7709 Å; angles 90.00, 90.00, 90.00 degrees
Sites, in units of the cell vectors:
Nb: 0.0000 0.0000 0.0000
Se: 0.0000 0.5000 0.5000
Se: 0.5000 0.0000 0.5000
Se: 0.5000 0.5000 0.0000
S: 0.5000 0.5000 0.5000

The mass density is 5.5 g cm⁻³. Its magnetization is 2.0 μB/cell. The formation energy from raw total energies is 0.68 eV per atom. Its total energy is -4.25 eV per atom. As for the energy above the lowest structure with this stoichiometry: 382.4 meV/atom.

=====

# 2
DFT (PBE-GGA) results for a relaxed structure of CaMnAs4.

Cell lengths 5.6486, 5.6486, 5.6486 Å; angles 60.00, 60.00, 60.00 degrees
Sites, in units of the cell vectors:
Ca: 0.0000 0.0000 0.0000
Mn: 0.7500 0.7500 0.7500
As: 0.3763 0.3763 0.3763
As: 0.3763 0.3763 0.8710
As: 0.3763 0.8710 0.3763
As: 0.8710 0.3763 0.3763

The mass density is 5.1 g cm⁻³. As for the formation energy: 0.102 eV per atom. Its magnetization is 4.0 μB/cell. Its total energy is -4.86 eV per atom.

=====

# 3
DFT (PBE-GGA) results for a relaxed structure of ZrC2Se.

Cell lengths 6.1717, 6.1717, 6.1717 Å; angles 131.79, 131.79, 70.55 degrees
Sites, in units of the cell vectors:
Zr: 0.0000 0.0000 0.0000
Zr: 0.7500 0.2500 0.5000
C: 0.1377 0.6250 0.0127
C: 0.3750 0.3877 0.5127
C: 0.6123 0.1250 0.9873
C: 0.8750 0.8623 0.4873
Se: 0.2500 0.7500 0.5000
Se: 0.5000 0.5000 0.0000

The mass density is 5.0 g cm⁻³. Its magnetization is 0.0 μB/cell. The formation energy from raw total energies is 0.96 eV per atom. Its total energy is -6.66 eV per atom.

=====

# 4
DFT (PBE-GGA) results for a relaxed structure of NiAgW.

Cell lengths 2.7776, 2.7776, 6.8124 Å; angles 90.00, 90.00, 120.00 degrees
Sites, in units of the cell vectors:
Ni: 0.0000 0.0000 0.0000
Ag: 0.3333 0.6667 0.6661
W: 0.6667 0.3333 0.2937

The mass density is 12.8 g cm⁻³. As for the formation energy: 0.358 eV per atom. Its magnetization is 0.0 μB/cell. Its total energy is -6.84 eV per atom. As for the energy above the lowest structure with this stoichiometry: 48.6 meV/atom.

=====

# 5
DFT (PBE-GGA) results for a relaxed structure of LaHg2S.

Cell lengths 6.8067, 6.8067, 6.8067 Å; angles 100.22, 100.22, 130.17 degrees
Sites, in units of the cell vectors:
La: 0.0000 0.0000 0.0000
La: 0.7500 0.2500 0.5000
Hg: 0.1532 0.6250 0.0282
Hg: 0.3750 0.4032 0.5282
Hg: 0.5968 0.1250 0.9718
Hg: 0.8750 0.8468 0.4718
S: 0.2500 0.7500 0.5000
S: 0.5000 0.5000 0.0000

The mass density is 8.7 g cm⁻³. Its magnetization is 0.0 μB/cell. The formation energy from raw total energies is -0.67 eV per atom. Its total energy is -3.08 eV per atom.

=====

# 6
DFT (PBE-GGA) results for a relaxed structure of CdHg2.

Cell lengths 4.7326, 4.7326, 3.9317 Å; angles 90.00, 90.00, 90.00 degrees
Sites, in units of the cell vectors:
Cd: 0.0000 0.0000 0.0000
Hg: 0.0000 0.5000 0.5000
Hg: 0.5000 0.0000 0.5000

The mass density is 9.7 g cm⁻³. As for the formation energy: 0.046 eV per atom. Its magnetization is 0.0 μB/cell. Its total energy is -0.46 eV per atom. As for the energy above the lowest structure with this stoichiometry: 29.6 meV/atom.

=====

# 7
DFT (PBE-GGA) results for a relaxed structure of AlAsOs2.

Cell lengths 2.9346, 4.1005, 5.3709 Å; angles 90.00, 102.84, 90.00 degrees
Sites, in units of the cell vectors:
Al: 0.0000 0.0000 0.0000
As: 0.5000 0.0000 0.5000
Os: 0.3812 0.5000 0.2173
Os: 0.6188 0.5000 0.7827

The mass density is 12.7 g cm⁻³. As for the formation energy: 0.286 eV per atom. Its magnetization is 0.0 μB/cell. Its total energy is -7.43 eV per atom. As for the energy above the lowest structure with this stoichiometry: 328.3 meV/atom.

=====

# 8
DFT (PBE-GGA) results for a relaxed structure of ScZn2CrS.

Cell lengths 5.3181, 5.3181, 4.7155 Å; angles 90.00, 90.00, 90.00 degrees
Sites, in units of the cell vectors:
Sc: 0.0000 0.0000 0.0000
Zn: 0.0000 0.5000 0.0000
Zn: 0.5000 0.0000 0.0000
Cr: 0.5000 0.5000 0.5000
S: 0.0000 0.0000 0.5000

The mass density is 3.2 g cm⁻³. Its magnetization is 4.8 μB/cell. The formation energy from raw total energies is 0.50 eV per atom. Its total energy is -4.02 eV per atom.

=====

# 9
DFT (PBE-GGA) results for a relaxed structure of BeZnCl.

Cell lengths 5.9322, 5.9322, 5.9322 Å; angles 150.78, 150.78, 41.79 degrees
Sites, in units of the cell vectors:
Be: 0.0000 0.0000 0.0000
Zn: 0.3855 0.3855 0.0000
Cl: 0.6336 0.6336 0.0000

The mass density is 3.7 g cm⁻³. Its magnetization is 0.0 μB/cell. The formation energy from raw total energies is 0.14 eV per atom. Its total energy is -2.15 eV per atom. As for the energy above the lowest structure with this stoichiometry: 231.8 meV/atom.

=====

# 10
DFT (PBE-GGA) results for a relaxed structure of CaTcAu2.

Cell lengths 5.2566, 2.8017, 5.6078 Å; angles 90.00, 114.87, 90.00 degrees
Sites, in units of the cell vectors:
Ca: 0.0000 0.0000 0.0000
Tc: 0.0000 0.5000 0.5000
Au: 0.5000 0.0000 0.5000
Au: 0.5000 0.5000 0.0000

The mass density is 11.8 g cm⁻³. As for the formation energy: 0.179 eV per atom. Its magnetization is 0.0 μB/cell. Its total energy is -4.55 eV per atom. As for the energy above the lowest structure with this stoichiometry: 160.4 meV/atom.

=====

# 11
DFT (PBE-GGA) results for a relaxed structure of Na2AcSi4.

Cell lengths 13.6193, 13.6193, 13.6193 Å; angles 16.68, 16.68, 16.68 degrees
Sites, in units of the cell vectors:
Na: 0.1267 0.1267 0.1267
Na: 0.8733 0.8733 0.8733
Ac: 0.0000 0.0000 0.0000
Si: 0.2594 0.2594 0.2594
Si: 0.3884 0.3884 0.3884
Si: 0.6116 0.6116 0.6116
Si: 0.7406 0.7406 0.7406

The mass density is 3.5 g cm⁻³. Its magnetization is 0.0 μB/cell. The formation energy from raw total energies is -0.17 eV per atom. Its total energy is -4.23 eV per atom.

=====

# 12
DFT (PBE-GGA) results for a relaxed structure of Li3Tl2.

Cell lengths 8.3502, 8.3502, 5.0358 Å; angles 90.00, 90.00, 34.71 degrees
Sites, in units of the cell vectors:
Li: 0.0483 0.5507 0.7500
Li: 0.2488 0.7512 0.7500
Li: 0.4493 0.9517 0.7500
Li: 0.5507 0.0483 0.2500
Li: 0.7512 0.2488 0.2500
Li: 0.9517 0.4493 0.2500
Tl: 0.1453 0.6435 0.2500
Tl: 0.3565 0.8547 0.2500
Tl: 0.6435 0.1453 0.7500
Tl: 0.8547 0.3565 0.7500

The mass density is 7.1 g cm⁻³. As for the formation energy: -0.224 eV per atom. Its magnetization is 0.0 μB/cell. Its total energy is -2.32 eV per atom.

=====

# 13
DFT (PBE-GGA) results for a relaxed structure of Pu3Zn3Rh2.

Cell lengths 7.5945, 15.5413, 5.5457 Å; angles 90.00, 90.00, 90.00 degrees
Sites, in units of the cell vectors:
Pu: 0.0339 0.1065 0.1053
Pu: 0.0339 0.3935 0.1053
Pu: 0.1599 0.2500 0.6423
Pu: 0.3401 0.7500 0.1423
Pu: 0.4661 0.6065 0.6053
Pu: 0.4661 0.8935 0.6053
Pu: 0.5339 0.1065 0.3947
Pu: 0.5339 0.3935 0.3947
Pu: 0.6599 0.2500 0.8577
Pu: 0.8401 0.7500 0.3577
Pu: 0.9661 0.6065 0.8947
Pu: 0.9661 0.8935 0.8947
Zn: 0.1690 0.0313 0.5868
Zn: 0.1690 0.4687 0.5868
Zn: 0.1801 0.7500 0.6481
Zn: 0.3199 0.2500 0.1481
Zn: 0.3310 0.5313 0.0868
Zn: 0.3310 0.9687 0.0868
Zn: 0.6690 0.0313 0.9132
Zn: 0.6690 0.4687 0.9132
Zn: 0.6801 0.7500 0.8519
Zn: 0.8199 0.2500 0.3519
Zn: 0.8310 0.5313 0.4132
Zn: 0.8310 0.9687 0.4132
Rh: 0.1239 0.6182 0.3667
Rh: 0.1239 0.8818 0.3667
Rh: 0.3761 0.1182 0.8667
Rh: 0.3761 0.3818 0.8667
Rh: 0.6239 0.6182 0.1333
Rh: 0.6239 0.8818 0.1333
Rh: 0.8761 0.1182 0.6333
Rh: 0.8761 0.3818 0.6333

The mass density is 11.5 g cm⁻³. As for the formation energy: -0.297 eV per atom. Its magnetization is 67.2 μB/cell. Its total energy is -7.99 eV per atom.

=====

# 14
DFT (PBE-GGA) results for a relaxed structure of AsPCl2F.

Cell lengths 5.3667, 5.3667, 3.5750 Å; angles 90.00, 90.00, 90.00 degrees
Sites, in units of the cell vectors:
As: 0.0000 0.0000 0.0000
P: 0.5000 0.5000 0.0000
Cl: 0.0000 0.5000 0.5000
Cl: 0.5000 0.0000 0.5000
F: 0.5000 0.5000 0.5000

The mass density is 3.2 g cm⁻³. Its magnetization is 0.4 μB/cell. The formation energy from raw total energies is 0.35 eV per atom. Its total energy is -2.77 eV per atom. As for the energy above the lowest structure with this stoichiometry: 158.3 meV/atom.

=====

# 15
DFT (PBE-GGA) results for a relaxed structure of BeTl3.

Cell lengths 4.7643, 4.7643, 5.7487 Å; angles 115.77, 115.77, 86.94 degrees
Sites, in units of the cell vectors:
Be: 0.0000 0.0000 0.0000
Tl: 0.2498 0.7502 0.5000
Tl: 0.5000 0.5000 0.0000
Tl: 0.7502 0.2498 0.5000

The mass density is 9.9 g cm⁻³. As for the formation energy: 0.554 eV per atom. Its magnetization is 0.0 μB/cell. Its total energy is -2.15 eV per atom. As for the energy above the lowest structure with this stoichiometry: 235.5 meV/atom.

=====

# 16
DFT (PBE-GGA) results for a relaxed structure of SmScNiOs.

Cell lengths 4.7196, 4.7196, 4.7196 Å; angles 60.00, 60.00, 60.00 degrees
Sites, in units of the cell vectors:
Sm: 0.0000 0.0000 0.0000
Sc: 0.5000 0.5000 0.5000
Ni: 0.7500 0.7500 0.7500
Os: 0.2500 0.2500 0.2500

The mass density is 9.9 g cm⁻³. As for the formation energy: -0.261 eV per atom. Its magnetization is 0.0 μB/cell. Its total energy is -7.28 eV per atom.

=====

# 17
DFT (PBE-GGA) results for a relaxed structure of Pm5Pr2Tl.

Cell lengths 7.1979, 7.1907, 7.1916 Å; angles 60.06, 59.96, 59.97 degrees
Sites, in units of the cell vectors:
Pm: 0.0000 0.0000 0.0000
Pm: 0.0000 0.0000 0.5000
Pm: 0.0009 0.4999 0.5001
Pm: 0.4999 0.0009 0.9991
Pm: 0.5000 0.5000 0.0000
Pr: 0.5004 0.9991 0.4996
Pr: 0.9991 0.5004 0.0009
Tl: 0.4999 0.4999 0.5001

The mass density is 7.6 g cm⁻³. As for the formation energy: -0.052 eV per atom. Its magnetization is 0.0 μB/cell. Its total energy is -4.51 eV per atom. As for the energy above the lowest structure with this stoichiometry: 0.0 meV/atom.